# 1
La2In2As, optimized geometry, DFT PBE-GGA; E_tot = -44.98 eV for the cell shown; ΔH_f (0 K) = -0.5022 eV/atom
1.0
7.791 0.000 0.000
0.000 7.791 0.000
0.000 0.000 4.860
La In As
4 4 2
direct
0.167 0.333 0.000
0.333 0.833 0.000
0.667 0.167 0.000
0.833 0.667 0.000
0.136 0.636 0.500
0.364 0.136 0.500
0.636 0.864 0.500
0.864 0.364 0.500
0.000 0.000 0.500
0.500 0.500 0.500

# 2
LaInAs2, optimized geometry, DFT PBE-GGA; E_tot = -19.81 eV for the cell shown; ΔH_f (0 K) = -0.7119 eV/atom
1.0
5.798 -2.060 0.000
5.798 2.060 0.000
-0.298 0.000 4.389
La In As
1 1 2
direct
0.000 0.000 0.000
0.752 0.752 0.448
0.287 0.287 0.991
0.524 0.524 0.501

# 3
LaInAs2, optimized geometry, DFT PBE-GGA; E_tot = -19.48 eV for the cell shown; ΔH_f (0 K) = -0.6300 eV/atom
1.0
-2.131 2.131 5.405
2.131 -2.131 5.405
2.131 2.131 -5.405
La In As
1 1 2
direct
0.000 0.000 0.000
0.750 0.250 0.500
0.250 0.750 0.500
0.500 0.500 0.000

# 4
LaInAs2, optimized geometry, DFT PBE-GGA; E_tot = -19.71 eV for the cell shown; ΔH_f (0 K) = -0.6864 eV/atom
1.0
4.241 0.000 0.000
0.000 4.241 0.000
0.000 0.000 6.135
La In As
1 1 2
direct
0.000 0.000 0.000
0.500 0.500 0.563
0.000 0.000 0.506
0.500 0.500 0.041

# 5
LaInAs2, optimized geometry, DFT PBE-GGA; E_tot = -19.51 eV for the cell shown; ΔH_f (0 K) = -0.6354 eV/atom
1.0
4.105 0.000 0.000
0.000 4.150 0.000
-1.240 0.000 6.470
La In As
1 1 2
direct
0.000 0.000 0.000
0.000 0.000 0.500
0.463 0.500 0.806
0.537 0.500 0.194

# 6
La2In2As, optimized geometry, DFT PBE-GGA; E_tot = -45.24 eV for the cell shown; ΔH_f (0 K) = -0.5279 eV/atom
1.0
7.915 0.000 0.000
0.000 7.915 0.000
0.000 0.000 5.163
La In As
4 4 2
direct
0.163 0.337 0.000
0.337 0.837 0.000
0.663 0.163 0.000
0.837 0.663 0.000
0.140 0.640 0.500
0.360 0.140 0.500
0.640 0.860 0.500
0.860 0.360 0.500
0.000 0.000 0.000
0.500 0.500 0.000

# 7
LaInAs2, optimized geometry, DFT PBE-GGA; E_tot = -18.13 eV for the cell shown; ΔH_f (0 K) = -0.2911 eV/atom
1.0
0.000 3.675 3.675
3.675 0.000 3.675
3.675 3.675 0.000
La In As
1 1 2
direct
0.000 0.000 0.000
0.250 0.250 0.250
0.500 0.500 0.500
0.750 0.750 0.750

# 8
LaInAs2, optimized geometry, DFT PBE-GGA; E_tot = -19.49 eV for the cell shown; ΔH_f (0 K) = -0.6307 eV/atom
1.0
4.094 0.000 0.000
0.000 4.094 0.000
0.000 0.000 6.503
La In As
1 1 2
direct
0.000 0.000 0.000
0.000 0.000 0.500
0.500 0.500 0.197
0.500 0.500 0.803

- Number 6 is which compound?
  La2In2As

- Among the records above, which one has the lowest E_tot?
  number 6

- Which of these has the highest E_tot?
  number 7